Computed, not measured: a crystal of ScTcTe2 relaxed with PBEsol at the meta-GGA SCAN level of DFT.

The space group is P4mm (No. 99) and the conventional cell measures 3.4889, 3.4889 and 7.3439 Å, with angles of 90.00, 90.00 and 90.00 degrees. The asymmetric unit holds Sc at (0.0000, 0.0000, 0.0000), Tc at (0.5000, 0.5000, 0.2202), Te at (0.0000, 0.0000, 0.4040) and Te at (0.5000, 0.5000, 0.8174).

As for the calculated volume: 89.4 Å³/f.u. For the uncorrected energy, the calculation gives -31.4132 eV per atom. Its uncorrected formation energy is -0.46 eV/atom.